An optimized crystal structure of CrPHS2, computed with PBE.

Energy above the lowest structure with this stoichiometry   702 meV/atom
Calculated density   2.61 Mg/m³
Magnetization   0.193 μB per atom
N(E_F)   1.1826 states/eV per atom
Crystal system   tetragonal

Lattice parameters (Å, degrees): 4.621 4.406 4.621 90.00 90.00 90.00
Last column: magnetic moment on the atom in μB.
Fractional positions:
Cr 0.000 0.500 0.000  -0.15
S 0.000 0.000 0.500  0.09
S 0.500 0.000 0.000  0.10
H 0.500 0.500 0.500  0.34
P 0.000 0.000 0.000  0.03

=====

An optimized crystal structure of NaAc2Au, computed with PBE.

Energy above the lowest structure with this stoichiometry   51 meV/atom
Calculated density   6.80 Mg/m³
Magnetization   0.000 μB per atom
N(E_F)   1.1205 states/eV per atom
Formation energy from the elements   -0.2453 eV/atom
Crystal system   trigonal

Lattice parameters (Å, degrees): 4.290 4.290 10.623 78.35 78.35 60.00
Fractional positions:
Na 0.500 0.500 0.501
Ac 0.063 0.063 0.812
Ac 0.271 0.271 0.187
Au 0.667 0.667 0.000

=====

An optimized crystal structure of ZrPt2Cl, computed with PBE.

Energy above the lowest structure with this stoichiometry   474 meV/atom
Calculated density   11.68 Mg/m³
Uncorrected formation energy   -0.19 eV/atom
Magnetization   0.000 μB per atom
N(E_F)   1.4101 states/eV per atom
Crystal system   cubic

Lattice parameters (Å, degrees): 4.701 4.701 4.701 60.00 60.00 60.00
Fractional positions:
Zr 0.500 0.500 0.500
Pt 0.250 0.250 0.250
Pt 0.750 0.750 0.750
Cl 0.000 0.000 0.000

=====

An optimized crystal structure of Ac6Te3Rh2Se, computed with PBE.

Calculated density   8.09 Mg/m³
Uncorrected formation energy   -1.30 eV/atom
Magnetization   0.000 μB per atom
N(E_F)   0.7012 states/eV per atom
Crystal system   monoclinic

Lattice parameters (Å, degrees): 7.797 7.797 8.333 99.14 99.14 119.92
Fractional positions:
Ac 0.931 0.578 0.784
Ac 0.719 0.719 0.214
Ac 0.069 0.422 0.216
Ac 0.578 0.931 0.784
Ac 0.281 0.281 0.786
Ac 0.422 0.069 0.216
Te 0.160 0.840 0.500
Te 0.840 0.160 0.500
Te 0.500 0.500 0.500
Rh 0.332 0.668 0.000
Rh 0.668 0.332 0.000
Se 0.000 0.000 0.000

=====

An optimized crystal structure of Ce2BeCoIr6, computed with PBE.

Calculated density   14.52 Mg/m³
Magnetization   0.365 μB per atom
N(E_F)   0.6494 states/eV per atom
Formation energy from the elements   -0.0974 eV/atom
Crystal system   cubic

Lattice parameters (Å, degrees): 6.238 6.238 6.238 60.00 60.00 90.00
Last column: magnetic moment on the atom in μB.
Fractional positions:
Ce 0.250 0.750 0.500  -0.05
Ce 0.750 0.250 0.500  -0.05
Be 0.000 0.000 0.000  -0.01
Co 0.500 0.500 0.000  1.85
Ir 0.237 0.763 0.000  0.30
Ir 0.763 0.763 0.000  0.30
Ir 0.237 0.237 0.526  0.30
Ir 0.763 0.237 0.000  0.30
Ir 0.237 0.237 0.000  0.30
Ir 0.763 0.763 0.474  0.30

=====

An optimized crystal structure of Tb6Y2Ga, computed with PBE.

Calculated density   7.09 Mg/m³
Magnetization   0.000 μB per atom
N(E_F)   1.2854 states/eV per atom
Formation energy from the elements   0.0162 eV/atom
Crystal system   monoclinic

Lattice parameters (Å, degrees): 3.542 9.261 9.750 118.35 90.08 90.00
Fractional positions:
Tb 0.999 0.333 0.324
Tb 0.001 0.009 0.676
Tb 0.001 0.667 0.676
Tb 0.500 0.282 0.000
Tb 0.999 0.991 0.324
Tb 0.500 0.718 0.000
Y 0.499 0.677 0.354
Y 0.501 0.323 0.646
Ga 0.000 0.000 0.000

=====

An optimized crystal structure of ZrHg2Rh, computed with PBE.

Energy above the lowest structure with this stoichiometry   142 meV/atom
Calculated density   12.72 Mg/m³
Magnetization   0.000 μB per atom
N(E_F)   0.7750 states/eV per atom
Formation energy from the elements   -0.1194 eV/atom
Crystal system   cubic

Lattice parameters (Å, degrees): 4.791 4.791 4.791 60.00 60.00 60.00
Fractional positions:
Hg 0.000 0.000 0.000
Hg 0.750 0.750 0.750
Rh 0.500 0.500 0.500
Zr 0.250 0.250 0.250

=====

An optimized crystal structure of Ca3TiPb, computed with PBE.

Energy above the lowest structure with this stoichiometry   6 meV/atom
Calculated density   2.97 Mg/m³
Magnetization   0.059 μB per atom
N(E_F)   1.7960 states/eV per atom
Formation energy from the elements   0.6286 eV/atom
Crystal system   cubic

Lattice parameters (Å, degrees): 5.945 5.945 5.945 90.00 90.00 90.00
Last column: magnetic moment on the atom in μB.
Fractional positions:
Pb 0.000 0.000 0.000  -0.05
Ca 0.000 0.500 0.000  -0.01
Ca 0.000 0.000 0.500  0.01
Ca 0.500 0.000 0.000  -0.02
Ti 0.500 0.500 0.500  -0.12

=====

An optimized crystal structure of Sc2ReW, computed with PBE.

Energy above the lowest structure with this stoichiometry   409 meV/atom
Calculated density   10.59 Mg/m³
Magnetization   0.000 μB per atom
N(E_F)   1.1818 states/eV per atom
Formation energy from the elements   0.3519 eV/atom
Crystal system   tetragonal

Lattice parameters (Å, degrees): 3.111 3.111 7.454 90.00 90.00 90.00
Fractional positions:
Re 0.500 0.500 0.750
Sc 0.000 0.000 0.978
Sc 0.000 0.000 0.522
W 0.500 0.500 0.250

=====

An optimized crystal structure of Cs2Zn3CdF12, computed with PBE.

Calculated density   4.35 Mg/m³
Uncorrected formation energy   -2.21 eV/atom
Magnetization   0.045 μB per atom
N(E_F)   0.5508 states/eV per atom
Crystal system   trigonal

Lattice parameters (Å, degrees): 7.599 7.599 7.599 59.40 59.40 59.40
Last column: magnetic moment on the atom in μB.
Fractional positions:
Cs 0.618 0.618 0.618  0.00
Cs 0.382 0.382 0.382  0.00
Zn 0.500 0.000 0.000  0.07
Zn 0.000 0.500 0.000  0.07
Zn 0.000 0.000 0.500  0.07
Cd 0.000 0.000 0.000  0.03
F 0.308 0.308 0.921  0.04
F 0.915 0.915 0.353  0.05
F 0.353 0.915 0.915  0.05
F 0.921 0.308 0.308  0.04
F 0.915 0.353 0.915  0.05
F 0.308 0.921 0.308  0.04
F 0.692 0.692 0.079  0.04
F 0.085 0.085 0.647  0.05
F 0.647 0.085 0.085  0.05
F 0.079 0.692 0.692  0.04
F 0.085 0.647 0.085  0.05
F 0.692 0.079 0.692  0.04

=====

An optimized crystal structure of KFe2Hg, computed with PBE.

Calculated density   7.29 Mg/m³
Magnetization   1.348 μB per atom
N(E_F)   1.2721 states/eV per atom
Formation energy from the elements   1.0773 eV/atom
Crystal system   tetragonal

Lattice parameters (Å, degrees): 5.377 5.377 5.377 133.64 133.64 67.65
Last column: magnetic moment on the atom in μB.
Fractional positions:
Fe 0.000 0.000 0.000  2.79
Fe 0.500 0.500 0.000  2.79
Hg 0.250 0.750 0.500  -0.07
K 0.750 0.250 0.500  -0.03

=====

An optimized crystal structure of PuVAs3, computed with PBE.

Calculated density   8.98 Mg/m³
Magnetization   1.077 μB per atom
N(E_F)   1.9967 states/eV per atom
Formation energy from the elements   -0.6429 eV/atom
Crystal system   orthorhombic

Lattice parameters (Å, degrees): 5.566 5.689 12.138 90.00 90.00 90.00
Last column: magnetic moment on the atom in μB.
Fractional positions:
Pu 0.750 0.491 0.686  5.06
Pu 0.250 0.509 0.314  5.06
Pu 0.750 0.991 0.314  5.06
Pu 0.250 0.009 0.686  5.06
V 0.500 0.250 0.086  0.26
V 0.000 0.750 0.914  0.26
V 0.500 0.750 0.914  0.26
V 0.000 0.250 0.086  0.26
As 0.000 0.250 0.497  -0.07
As 0.500 0.750 0.503  -0.07
As 0.000 0.750 0.503  -0.07
As 0.500 0.250 0.497  -0.07
As 0.250 0.114 0.925  -0.02
As 0.750 0.886 0.075  -0.02
As 0.250 0.614 0.075  -0.02
As 0.750 0.386 0.925  -0.02
As 0.250 0.511 0.778  -0.06
As 0.750 0.489 0.222  -0.06
As 0.250 0.011 0.222  -0.06
As 0.750 0.989 0.778  -0.06

=====

An optimized crystal structure of Li2FeTc, computed with PBE.

Energy above the lowest structure with this stoichiometry   80 meV/atom
Calculated density   5.12 Mg/m³
Magnetization   0.586 μB per atom
N(E_F)   0.7536 states/eV per atom
Formation energy from the elements   0.2774 eV/atom
Crystal system   orthorhombic

Lattice parameters (Å, degrees): 2.509 2.509 9.204 90.00 90.00 109.95
Last column: magnetic moment on the atom in μB.
Fractional positions:
Fe 0.500 0.500 0.750  2.48
Li 0.000 0.000 0.997  -0.04
Li 0.000 0.000 0.503  -0.04
Tc 0.500 0.500 0.250  0.04

=====

An optimized crystal structure of TiMn4Nb, computed with PBE.

Calculated density   7.65 Mg/m³
Magnetization   0.488 μB per atom
N(E_F)   1.2570 states/eV per atom
Formation energy from the elements   -0.1991 eV/atom
Crystal system   cubic

Lattice parameters (Å, degrees): 4.802 4.802 4.802 60.00 60.00 60.00
Last column: magnetic moment on the atom in μB.
Fractional positions:
Nb 0.250 0.250 0.250  -0.19
Mn 0.625 0.625 0.124  0.83
Mn 0.625 0.124 0.625  0.83
Mn 0.625 0.625 0.625  0.83
Mn 0.124 0.625 0.625  0.83
Ti 0.000 0.000 0.000  -0.18

=====

An optimized crystal structure of MgO, computed with PBE.

Calculated density   3.56 Mg/m³
Uncorrected formation energy   -1.96 eV/atom
Magnetization   0.000 μB per atom
N(E_F)   0.0000 states/eV per atom
Crystal system   cubic

Lattice parameters (Å, degrees): 2.659 2.659 2.659 90.00 90.00 90.00
Fractional positions:
Mg 0.000 0.000 0.000
O 0.500 0.500 0.500

=====

An optimized crystal structure of FeCoCu2C, computed with PBE.

Calculated density   5.55 Mg/m³
Magnetization   0.000 μB per atom
N(E_F)   1.8722 states/eV per atom
Formation energy from the elements   2.4091 eV/atom
Crystal system   tetragonal

Lattice parameters (Å, degrees): 4.369 3.983 4.369 90.00 90.00 90.00
Fractional positions:
C 0.500 0.500 0.500
Co 0.000 0.500 0.000
Fe 0.000 0.000 0.000
Cu 0.000 0.000 0.500
Cu 0.500 0.000 0.000

=====

An optimized crystal structure of AcTlO2, computed with PBE.

Energy above the lowest structure with this stoichiometry   397 meV/atom
Calculated density   10.18 Mg/m³
Uncorrected formation energy   -1.78 eV/atom
Magnetization   0.000 μB per atom
Crystal system   tetragonal

Lattice parameters (Å, degrees): 3.299 3.299 6.943 90.00 90.00 90.00
Fractional positions:
Ac 0.500 0.500 0.500
Tl 0.500 0.500 0.000
O 0.000 0.000 0.692
O 0.000 0.000 0.308

=====

An optimized crystal structure of CdIn5GaHg2, computed with PBE.

Calculated density   8.26 Mg/m³
Magnetization   0.000 μB per atom
N(E_F)   0.4287 states/eV per atom
Formation energy from the elements   0.0355 eV/atom
Crystal system   orthorhombic

Lattice parameters (Å, degrees): 3.281 8.542 16.923 90.00 90.00 101.07
Fractional positions:
Cd 0.512 0.024 0.930
Cd 0.488 0.976 0.430
In 0.322 0.643 0.011
In 0.694 0.388 0.853
In 0.525 0.050 0.752
In 0.356 0.712 0.662
In 0.020 0.041 0.586
In 0.678 0.357 0.511
In 0.306 0.612 0.353
In 0.475 0.950 0.252
In 0.644 0.288 0.162
In 0.980 0.959 0.086
Ga 0.852 0.705 0.504
Ga 0.148 0.295 0.004
Hg 0.872 0.745 0.840
Hg 0.182 0.365 0.685
Hg 0.128 0.255 0.340
Hg 0.818 0.635 0.185

=====

An optimized crystal structure of KLaAl2Ge, computed with PBE.

Calculated density   3.49 Mg/m³
Magnetization   0.000 μB per atom
N(E_F)   0.4258 states/eV per atom
Formation energy from the elements   0.3874 eV/atom
Crystal system   tetragonal

Lattice parameters (Å, degrees): 5.081 5.607 5.081 90.00 90.00 90.00
Fractional positions:
Ge 0.000 0.000 0.000
Al 0.000 0.000 0.500
Al 0.500 0.000 0.000
K 0.000 0.500 0.000
La 0.500 0.500 0.500

=====

An optimized crystal structure of ZrFe2W, computed with PBE.

Calculated density   10.54 Mg/m³
Magnetization   0.828 μB per atom
N(E_F)   0.7781 states/eV per atom
Formation energy from the elements   0.0845 eV/atom
Crystal system   tetragonal

Lattice parameters (Å, degrees): 3.102 3.102 6.333 90.00 90.00 90.00
Last column: magnetic moment on the atom in μB.
Fractional positions:
Fe 0.000 0.000 0.033  2.14
Fe 0.500 0.500 0.243  1.90
W 0.000 0.000 0.458  -0.34
Zr 0.500 0.500 0.767  -0.23

=====

An optimized crystal structure of Pr2DyHoEr4, computed with PBE.

Calculated density   7.98 Mg/m³
Magnetization   0.266 μB per atom
N(E_F)   2.2916 states/eV per atom
Formation energy from the elements   0.4263 eV/atom
Crystal system   monoclinic

Lattice parameters (Å, degrees): 9.502 9.502 11.809 128.42 128.42 88.37
Last column: magnetic moment on the atom in μB.
Fractional positions:
Pr 0.500 0.000 0.000  0.21
Pr 0.500 0.000 0.500  0.21
Pr 0.000 0.000 0.500  0.15
Pr 0.500 0.500 0.000  0.15
Dy 0.500 0.500 0.500  0.20
Dy 0.000 0.000 0.000  0.20
Ho 0.000 0.500 0.000  0.18
Ho 0.000 0.500 0.500  0.18
Er 0.245 0.752 0.999  0.21
Er 0.748 0.255 0.501  0.21
Er 0.252 0.745 0.499  0.21
Er 0.755 0.248 0.001  0.21
Er 0.753 0.749 0.997  0.20
Er 0.751 0.747 0.503  0.20
Er 0.249 0.253 0.497  0.20
Er 0.247 0.251 0.003  0.20

=====

An optimized crystal structure of Ca2TlSe, computed with PBE.

Energy above the lowest structure with this stoichiometry   95 meV/atom
Calculated density   5.57 Mg/m³
Uncorrected formation energy   -1.00 eV/atom
Magnetization   0.000 μB per atom
N(E_F)   0.4036 states/eV per atom
Crystal system   monoclinic

Lattice parameters (Å, degrees): 3.604 3.622 9.059 66.54 90.00 90.00
Fractional positions:
Tl 0.500 0.750 0.750
Ca 0.000 0.965 0.036
Ca 0.000 0.535 0.464
Se 0.500 0.250 0.250

=====

An optimized crystal structure of TiSi2Rh, computed with PBE.

Calculated density   5.89 Mg/m³
Uncorrected formation energy   -0.61 eV/atom
Magnetization   0.000 μB per atom
N(E_F)   0.6825 states/eV per atom
Crystal system   trigonal

Lattice parameters (Å, degrees): 3.974 3.974 4.843 65.78 65.78 60.00
Fractional positions:
Si 0.773 0.773 0.680
Si 0.227 0.227 0.320
Rh 0.500 0.500 0.500
Ti 0.000 0.000 0.000

=====

An optimized crystal structure of Y2IrAu, computed with PBE.

Calculated density   10.73 Mg/m³
Magnetization   0.000 μB per atom
N(E_F)   1.2460 states/eV per atom
Formation energy from the elements   -0.8244 eV/atom
Crystal system   orthorhombic

Lattice parameters (Å, degrees): 3.524 3.536 7.044 90.00 90.00 90.00
Fractional positions:
Y 0.000 0.000 0.984
Y 0.000 0.000 0.516
Ir 0.500 0.500 0.750
Au 0.500 0.500 0.250

=====

An optimized crystal structure of KB2Ir, computed with PBE.

Energy above the lowest structure with this stoichiometry   0 meV/atom
Calculated density   4.91 Mg/m³
Magnetization   0.000 μB per atom
N(E_F)   0.0707 states/eV per atom
Formation energy from the elements   0.1286 eV/atom
Crystal system   tetragonal

Lattice parameters (Å, degrees): 5.495 5.495 6.871 66.43 66.43 90.00
Fractional positions:
K 0.500 0.500 0.000
K 0.250 0.750 0.500
Ir 0.000 0.000 0.000
Ir 0.750 0.250 0.500
B 0.875 0.125 0.250
B 0.875 0.625 0.250
B 0.375 0.125 0.750
B 0.875 0.125 0.750

=====

An optimized crystal structure of Be2SiBr, computed with PBE.

Energy above the lowest structure with this stoichiometry   423 meV/atom
Calculated density   3.31 Mg/m³
Uncorrected formation energy   0.71 eV/atom
Magnetization   0.000 μB per atom
N(E_F)   0.3456 states/eV per atom
Crystal system   monoclinic

Lattice parameters (Å, degrees): 4.398 4.398 3.889 72.29 72.29 104.38
Fractional positions:
Be 0.000 0.000 0.000
Be 0.500 0.500 0.000
Si 0.000 0.500 0.500
Br 0.500 0.000 0.500